Entry 1:
Below is crystalline V2WS6 at its relaxed geometry, with properties calculated at the PBE-GGA level.

a = 3.1856 Å, b = 7.4962 Å, c = 8.1550 Å
α = 114.54°, β = 101.26°, γ = 90.00°
Last column: nearest neighbours and their distance in Å.
Element x y z (fractional)
S1 0.3345 0.9098 0.6690  2 V 2.33, 1 W 2.44
S2 0.6762 0.5571 0.3525  3 V 2.37-2.45
S3 0.0017 0.2471 0.0035  1 V 2.29, 2 W 2.43
S4 0.6655 0.0902 0.3310  2 V 2.33, 1 W 2.44
S5 0.3238 0.4429 0.6475  3 V 2.37-2.45
S6 0.9983 0.7529 0.9965  1 V 2.29, 2 W 2.43
W1 0.5000 0.0000 0.0000  6 S 2.43-2.44
V1 0.8453 0.6932 0.6907  6 S 2.29-2.45
V2 0.1547 0.3068 0.3093  6 S 2.29-2.45

Output
V: 173.0 Å³/f.u.
VASP energy: -6.98 eV/atom
Fermi-level density of states: 4.3 states/eV/cell
mass density: 4.6 g/cm³
formation energy from raw total energies: -0.77 eV per atom

---

Entry 2:
Below is crystalline ErMgSc3 at its relaxed geometry, with properties calculated at the PBE-GGA level.

a = 5.0428 Å, b = 12.7234 Å, c = 8.0865 Å
α = 90.00°, β = 90.00°, γ = 90.00°
Last column: nearest neighbours and their distance in Å.
Element x y z (fractional)
Sc1 0.7500 0.6388 0.8188  3 Mg 3.12-3.25, 5 Sc 3.14-3.45
Sc2 0.7500 0.3567 0.8895  3 Mg 2.89-3.10, 3 Sc 3.04-3.12, 1 Er 3.23
Sc3 0.7500 0.1388 0.6812  3 Mg 3.12-3.25, 5 Sc 3.14-3.45
Sc4 0.7500 0.2147 0.1914  1 Mg 2.93, 5 Sc 3.04-3.14
Sc5 0.2500 0.3612 0.1812  3 Mg 3.12-3.25, 5 Sc 3.14-3.45
Sc6 0.2500 0.8612 0.3188  3 Mg 3.12-3.25, 5 Sc 3.14-3.45
Sc7 0.2500 0.1433 0.3895  3 Mg 2.89-3.10, 3 Sc 3.04-3.12, 1 Er 3.23
Sc8 0.2500 0.7853 0.8086  1 Mg 2.93, 5 Sc 3.04-3.14
Sc9 0.7500 0.7147 0.3086  1 Mg 2.93, 5 Sc 3.04-3.14
Sc10 0.7500 0.8567 0.6105  3 Mg 2.89-3.10, 3 Sc 3.04-3.12, 1 Er 3.23
Sc11 0.2500 0.2853 0.6914  1 Mg 2.93, 5 Sc 3.04-3.14
Sc12 0.2500 0.6433 0.1105  3 Mg 2.89-3.10, 3 Sc 3.04-3.12, 1 Er 3.23
Er1 0.2500 0.1067 0.9943  1 Mg 3.05, 4 Sc 3.23-3.34
Er2 0.2500 0.6067 0.5057  1 Mg 3.05, 4 Sc 3.23-3.34
Er3 0.7500 0.3933 0.4943  1 Mg 3.05, 4 Sc 3.23-3.34
Er4 0.7500 0.8933 0.0057  1 Mg 3.05, 4 Sc 3.23-3.34
Mg1 0.7500 0.5048 0.1603  6 Sc 2.89-3.12, 1 Er 3.05
Mg2 0.2500 0.4952 0.8397  6 Sc 2.89-3.12, 1 Er 3.05
Mg3 0.7500 0.0048 0.3397  6 Sc 2.89-3.12, 1 Er 3.05
Mg4 0.2500 0.9952 0.6603  6 Sc 2.89-3.12, 1 Er 3.05

Output
V: 129.7 Å³/f.u.
energy above the lowest structure with this stoichiometry: 50 meV per atom
VASP energy: -4.92 eV/atom
Fermi-level density of states: 26.2 states/eV/cell
mass density: 4.2 g/cm³

---

Entry 3:
Below is crystalline Th2Sc2Ni15 at its relaxed geometry, with properties calculated at the PBE-GGA level.

a = 6.4403 Å, b = 6.4403 Å, c = 6.4403 Å
α = 81.84°, β = 81.84°, γ = 81.84°
Last column: nearest neighbours and their distance in Å.
Element x y z (fractional)
Ni1 0.6548 0.6548 0.1600  8 Ni 2.42-2.59, 1 Sc 2.62
Ni2 0.8400 0.3452 0.3452  8 Ni 2.42-2.59, 1 Sc 2.62
Ni3 0.0000 0.3044 0.6956  8 Ni 2.48-2.59
Ni4 0.6548 0.1600 0.6548  8 Ni 2.42-2.59, 1 Sc 2.62
Ni5 0.3044 0.0000 0.6956  8 Ni 2.48-2.59
Ni6 0.5000 0.0000 0.0000  8 Ni 2.45-2.48, 2 Sc 2.56
Ni7 0.6956 0.0000 0.3044  8 Ni 2.48-2.59
Ni8 0.3452 0.3452 0.8400  8 Ni 2.42-2.59, 1 Sc 2.62
Ni9 0.3044 0.6956 0.0000  8 Ni 2.48-2.59
Ni10 0.0000 0.6956 0.3044  8 Ni 2.48-2.59
Ni11 0.3452 0.8400 0.3452  8 Ni 2.42-2.59, 1 Sc 2.62
Ni12 0.0000 0.5000 0.0000  8 Ni 2.45-2.48, 2 Sc 2.56
Ni13 0.6956 0.3044 0.0000  8 Ni 2.48-2.59
Ni14 0.0000 0.0000 0.5000  8 Ni 2.45-2.48, 2 Sc 2.56
Ni15 0.1600 0.6548 0.6548  8 Ni 2.42-2.59, 1 Sc 2.62
Sc1 0.1053 0.1053 0.1053  6 Ni 2.56-2.62, 1 Sc 2.66
Sc2 0.8947 0.8947 0.8947  6 Ni 2.56-2.62, 1 Sc 2.66
Th1 0.6467 0.6467 0.6467  12 Ni 2.95-3.12, 1 Sc 3.14
Th2 0.3533 0.3533 0.3533  12 Ni 2.95-3.12, 1 Sc 3.14

Output
V: 259.7 Å³/f.u.
VASP energy: -6.36 eV/atom
Fermi-level density of states: 28.1 states/eV/cell
mass density: 9.2 g/cm³

---

> Which value of V does entry 2 give?

129.7 Å³/f.u.

---

> What is the formula in the third record?

Th2Sc2Ni15